[1]
{
  "formula": "CaYSn",
  "functional": "PBE",
  "state": "relaxed",
  "dos_at_fermi_per_ev_atom": 0.65,
  "formation_energy_ev_per_atom": -0.48,
  "magmom_total_mub_per_cell": 0.00,
  "final_energy_ev_per_cell": -13.9,
  "cell": [[0.000, 3.687, 3.687], [3.687, 0.000, 3.687], [3.687, 3.687, 0.000]],
  "species": ["Ca", "Y", "Sn"],
  "frac_coords": [[0.000, 0.000, 0.000], [0.500, 0.500, 0.500], [0.750, 0.750, 0.750]]
}

[2]
{
  "formula": "TeRhPb2",
  "functional": "PBE",
  "state": "relaxed",
  "dos_at_fermi_per_ev_atom": 0.70,
  "formation_energy_uncorrected_ev_per_atom": -0.07,
  "magmom_total_mub_per_cell": 0.00,
  "final_energy_ev_per_cell": -18.2,
  "cell": [[3.400, 0.000, 0.000], [0.000, 3.400, 0.000], [0.000, 0.000, 8.878]],
  "species": ["Te", "Rh", "Pb", "Pb"],
  "frac_coords": [[0.000, 0.000, 0.000], [0.500, 0.500, 0.856], [0.000, 0.000, 0.622], [0.500, 0.500, 0.318]]
}

[3]
{
  "formula": "SrMg14W",
  "functional": "PBE",
  "state": "relaxed",
  "dos_at_fermi_per_ev_atom": 0.54,
  "formation_energy_ev_per_atom": 0.21,
  "magmom_total_mub_per_cell": 1.83,
  "final_energy_ev_per_cell": -33.7,
  "polymorph_energy_mev_per_atom": 6,
  "cell": [[10.414, 0.000, 0.000], [0.000, 3.185, 5.657], [0.000, -3.185, 5.657]],
  "species": ["Sr", "Mg", "Mg", "Mg", "Mg", "Mg", "Mg", "Mg", "Mg", "Mg", "Mg", "Mg", "Mg", "Mg", "Mg", "W"],
  "frac_coords": [[0.000, 0.000, 0.000], [0.000, 0.001, 0.494], [0.000, 0.494, 0.001], [0.225, 0.638, 0.638], [0.247, 0.160, 0.637], [0.247, 0.637, 0.160], [0.268, 0.154, 0.154], [0.500, 0.487, 0.487], [0.500, 0.493, 0.980], [0.500, 0.980, 0.493], [0.500, 0.981, 0.981], [0.732, 0.154, 0.154], [0.753, 0.160, 0.637], [0.753, 0.637, 0.160], [0.775, 0.638, 0.638], [0.000, 0.473, 0.473]]
}